Record 1
The following is a PBE calculation of a relaxed structure of LaNi2Mo2, from Alexandria.

POSCAR file:
```
LaNi2Mo2
1.0
-3.9092 4.9794 4.4241
-5.1119 1.0458 -5.6941
-1.5312 -2.0835 0.9920
Ni Mo La
4 4 2
direct
0.1724 0.6724 0.5000
0.8276 0.3276 0.5000
0.6724 0.8276 0.5000
0.3276 0.1724 0.5000
0.1177 0.3823 0.0000
0.3823 0.8823 0.0000
0.6177 0.1177 0.0000
0.8823 0.6177 0.0000
0.0000 0.0000 0.0000
0.5000 0.5000 0.0000
```

N(E_F) (states/eV per cell): 9.87
E_form (eV per atom): 0.240



Record 2
The following is a PBE calculation of a relaxed structure of LaNiMo3, from Alexandria.

POSCAR file:
```
LaNiMo3
1.0
4.7188 0.0000 0.0000
0.0000 4.7188 0.0000
0.0000 0.0000 4.7188
Ni Mo La
1 3 1
direct
0.5000 0.5000 0.5000
0.0000 0.5000 0.0000
0.0000 0.0000 0.5000
0.5000 0.0000 0.0000
0.0000 0.0000 0.0000
```

N(E_F) (states/eV per cell): 5.15
E_form (eV per atom): 2.408



Record 3
The following is a PBE calculation of a relaxed structure of La3NiMo, from Alexandria.

POSCAR file:
```
La3NiMo
1.0
-0.1364 3.8980 -3.7927
-4.4497 2.1014 2.3198
3.1271 3.1602 3.1355
Mo La Ni
1 3 1
direct
0.0000 0.0000 0.0000
0.0000 0.5000 0.0000
0.0000 0.0000 0.5000
0.5000 0.0000 0.0000
0.5000 0.5000 0.5000
```

N(E_F) (states/eV per cell): 8.03
E_form (eV per atom): 0.536



Record 4
The following is a PBE calculation of a relaxed structure of La4NiMo, from Alexandria.

POSCAR file:
```
La4NiMo
1.0
-1.3272 -2.1867 5.6768
-5.9033 -1.2066 1.5697
-1.8928 -5.8899 0.7034
Mo La Ni
1 4 1
direct
0.7500 0.7500 0.7500
0.8750 0.3750 0.3750
0.3750 0.3750 0.8750
0.3750 0.8750 0.3750
0.3750 0.3750 0.3750
0.0000 0.0000 0.0000
```

N(E_F) (states/eV per cell): 9.12
E_form (eV per atom): 1.050



Record 5
The following is a PBE calculation of a relaxed structure of La2NiMo, from Alexandria.

POSCAR file:
```
La2NiMo
1.0
-0.2479 -4.4884 7.1835
2.7491 -5.8105 5.5218
2.9494 -2.7033 7.4702
La Ni Mo
2 1 1
direct
0.0047 0.0047 0.0047
0.4953 0.4953 0.4953
0.7500 0.7500 0.7500
0.2500 0.2500 0.2500
```

N(E_F) (states/eV per cell): 5.87
E_form (eV per atom): 0.441



Record 6
The following is a PBE calculation of a relaxed structure of La2NiMo, from Alexandria.

POSCAR file:
```
La2NiMo
1.0
3.4710 0.0000 0.0000
0.0000 3.4710 0.0000
0.0000 0.0000 8.1285
La Ni Mo
2 1 1
direct
0.0000 0.0000 0.9084
0.5000 0.5000 0.3211
0.5000 0.5000 0.6877
0.0000 0.0000 0.5828
```

N(E_F) (states/eV per cell): 6.09
E_form (eV per atom): 0.221



Record 7
The following is a PBE calculation of a relaxed structure of La2NiMo, from Alexandria.

POSCAR file:
```
La2NiMo
1.0
6.9518 0.0000 0.0000
0.0000 6.9518 0.0000
0.0000 0.0000 6.9518
La Mo Ni
8 4 4
direct
0.0000 0.5000 0.5000
0.2500 0.7500 0.2500
0.5000 0.0000 0.5000
0.7500 0.2500 0.2500
0.5000 0.5000 0.0000
0.2500 0.2500 0.7500
0.0000 0.0000 0.0000
0.7500 0.7500 0.7500
0.0000 0.0000 0.5000
0.5000 0.5000 0.5000
0.0000 0.5000 0.0000
0.5000 0.0000 0.0000
0.7500 0.7500 0.2500
0.2500 0.7500 0.7500
0.2500 0.2500 0.2500
0.7500 0.2500 0.7500
```

N(E_F) (states/eV per cell): 25.60
E_form (eV per atom): 0.443



Record 8
The following is a PBE calculation of a relaxed structure of La2NiMo, from Alexandria.

POSCAR file:
```
La2NiMo
1.0
6.3515 0.0105 -0.0293
5.3696 3.3925 -0.0293
1.8196 0.5283 4.3922
La Mo Ni
2 1 1
direct
0.7706 0.7706 0.7295
0.9818 0.9818 0.0180
0.5495 0.5495 0.4503
0.1982 0.1982 0.3022
```

N(E_F) (states/eV per cell): 5.84
E_form (eV per atom): 0.207